[1]
A geometry-optimized Na2SnB structure, computed with GGA-PBE.

Unit cell a=10.840 b=10.840 c=7.972 alpha=47.17 beta=47.17 gamma=90.00
Fractional coordinates of all 8 atoms:
1 Na 0.359 0.625 0.250
2 Na 0.375 0.609 0.750
3 Na 0.875 0.641 0.750
4 Na 0.391 0.125 0.250
5 B 0.250 0.750 0.500
6 B 0.500 0.500 0.000
7 Sn 0.000 0.000 0.000
8 Sn 0.750 0.250 0.500

V   32.17 Å³ per atom
Space group   I-42d (122)
Crystal system   tetragonal
Calculated formation energy   520 meV/atom
Energy relative to the lowest polymorph listed for this composition   0.0 meV per atom


[2]
A geometry-optimized NaSnB2 structure, computed with GGA-PBE.

Unit cell a=4.190 b=4.190 c=8.693 alpha=76.05 beta=76.05 gamma=90.00
Fractional coordinates of all 8 atoms:
1 Na 0.250 0.750 0.500
2 Na 0.500 0.500 0.000
3 B 0.875 0.625 0.250
4 B 0.875 0.125 0.750
5 B 0.875 0.125 0.250
6 B 0.375 0.125 0.750
7 Sn 0.750 0.250 0.500
8 Sn 0.000 0.000 0.000

V   17.93 Å³ per atom
Space group   I4_1/amd (141)
Crystal system   tetragonal
Calculated formation energy   1078 meV/atom


[3]
A geometry-optimized Na2SnB structure, computed with GGA-PBE.

Unit cell a=4.932 b=4.932 c=4.932 alpha=60.00 beta=60.00 gamma=60.00
Fractional coordinates of all 4 atoms:
1 Na 0.750 0.750 0.750
2 Na 0.250 0.250 0.250
3 B 0.000 0.000 0.000
4 Sn 0.500 0.500 0.500

V   21.20 Å³ per atom
Space group   Fm-3m (225)
Crystal system   cubic
Calculated formation energy   852 meV/atom
Energy relative to the lowest polymorph listed for this composition   332.7 meV per atom


[4]
A geometry-optimized NaSnB3 structure, computed with GGA-PBE.

Unit cell a=4.481 b=4.481 c=4.481 alpha=90.00 beta=90.00 gamma=90.00
Fractional coordinates of all 5 atoms:
1 Na 0.000 0.000 0.000
2 Sn 0.500 0.500 0.500
3 B 0.000 0.500 0.000
4 B 0.500 0.000 0.000
5 B 0.000 0.000 0.500

V   18.00 Å³ per atom
Space group   Pm-3m (221)
Crystal system   cubic
Calculated formation energy   2514 meV/atom
Energy relative to the lowest polymorph listed for this composition   606.1 meV per atom


[5]
A geometry-optimized NaSrB3 structure, computed with GGA-PBE.

Unit cell a=4.570 b=4.570 c=4.570 alpha=90.00 beta=90.00 gamma=90.00
Fractional coordinates of all 5 atoms:
1 B 0.000 0.000 0.500
2 B 0.000 0.500 0.000
3 B 0.500 0.000 0.000
4 Sr 0.500 0.500 0.500
5 Na 0.000 0.000 0.000

V   19.09 Å³ per atom
Space group   Pm-3m (221)
Crystal system   cubic
Calculated formation energy   2006 meV/atom
Energy relative to the lowest polymorph listed for this composition   0.0 meV per atom


[6]
A geometry-optimized NaSrB3 structure, computed with GGA-PBE.

Unit cell a=5.144 b=5.144 c=5.144 alpha=90.00 beta=90.00 gamma=90.00
Last column: magnetic moment on the atom in μB.
Fractional coordinates of all 5 atoms:
1 B 0.000 0.000 0.500  0.10
2 B 0.000 0.500 0.000  0.18
3 B 0.500 0.000 0.000  0.26
4 Na 0.500 0.500 0.500  0.00
5 Sr 0.000 0.000 0.000  0.16

V   27.22 Å³ per atom
Space group   Pm-3m (221)
Crystal system   cubic
Calculated formation energy   2461 meV/atom
Energy relative to the lowest polymorph listed for this composition   454.4 meV per atom


[7]
A geometry-optimized Na2SrB structure, computed with GGA-PBE.

Unit cell a=4.307 b=4.307 c=12.306 alpha=79.92 beta=79.92 gamma=90.00
Last column: magnetic moment on the atom in μB.
Fractional coordinates of all 8 atoms:
1 Na 0.375 0.836 0.750  0.00
2 Na 0.164 0.125 0.250  0.00
3 Na 0.586 0.625 0.250  0.00
4 Na 0.875 0.414 0.750  0.00
5 Sr 0.000 0.000 0.000  0.09
6 Sr 0.750 0.250 0.500  0.09
7 B 0.250 0.750 0.500  0.29
8 B 0.500 0.500 0.000  0.29

V   27.65 Å³ per atom
Space group   I-42d (122)
Crystal system   tetragonal
Calculated formation energy   769 meV/atom


[8]
A geometry-optimized NaSrTaB2 structure, computed with GGA-PBE.

Unit cell a=5.031 b=5.267 c=5.031 alpha=90.00 beta=90.00 gamma=90.00
Fractional coordinates of all 5 atoms:
1 Ta 0.000 0.500 0.000
2 Sr 0.000 0.000 0.000
3 B 0.500 0.000 0.000
4 B 0.000 0.000 0.500
5 Na 0.500 0.500 0.500

V   26.66 Å³ per atom
Space group   P4/mmm (123)
Crystal system   tetragonal
Calculated formation energy   2829 meV/atom


[9]
A geometry-optimized NaSrTcB2 structure, computed with GGA-PBE.

Unit cell a=4.624 b=4.813 c=4.624 alpha=90.00 beta=90.00 gamma=90.00
Last column: magnetic moment on the atom in μB.
Fractional coordinates of all 5 atoms:
1 Na 0.000 0.000 0.000  0.02
2 Sr 0.500 0.500 0.500  -0.01
3 B 0.000 0.000 0.500  -0.08
4 B 0.500 0.000 0.000  -0.09
5 Tc 0.000 0.500 0.000  2.47

V   20.58 Å³ per atom
Space group   P4/mmm (123)
Crystal system   tetragonal
Calculated formation energy   2158 meV/atom


[10]
A geometry-optimized Na2SrBTe structure, computed with GGA-PBE.

Unit cell a=6.190 b=4.710 c=6.190 alpha=90.00 beta=90.00 gamma=90.00
Fractional coordinates of all 5 atoms:
1 Na 0.000 0.000 0.500
2 Na 0.500 0.000 0.000
3 Te 0.500 0.500 0.500
4 Sr 0.000 0.000 0.000
5 B 0.000 0.500 0.000

V   36.09 Å³ per atom
Space group   P4/mmm (123)
Crystal system   tetragonal
E_form (uncorrected)   5.1 eV/f.u.


[11]
A geometry-optimized NaSrYB2 structure, computed with GGA-PBE.

Unit cell a=5.118 b=5.745 c=5.118 alpha=90.00 beta=90.00 gamma=90.00
Last column: magnetic moment on the atom in μB.
Fractional coordinates of all 5 atoms:
1 B 0.000 0.000 0.500  0.06
2 B 0.500 0.000 0.000  0.12
3 Na 0.500 0.500 0.500  0.00
4 Y 0.000 0.500 0.000  0.28
5 Sr 0.000 0.000 0.000  0.18

V   30.10 Å³ per atom
Space group   P4/mmm (123)
Crystal system   tetragonal
Calculated formation energy   2045 meV/atom


[12]
A geometry-optimized NaTaB2 structure, computed with GGA-PBE.

Unit cell a=4.301 b=4.301 c=8.105 alpha=74.61 beta=74.61 gamma=90.00
Fractional coordinates of all 8 atoms:
1 B 0.975 0.625 0.250
2 B 0.375 0.225 0.750
3 B 0.775 0.125 0.250
4 B 0.875 0.025 0.750
5 Ta 0.000 0.000 0.000
6 Ta 0.750 0.250 0.500
7 Na 0.500 0.500 0.000
8 Na 0.250 0.750 0.500

V   17.37 Å³ per atom
Space group   I-42d (122)
Crystal system   tetragonal
Calculated formation energy   1214 meV/atom